[1]
## AlTeRh2 (meta-GGA SCAN)

Data for AlTeRh2 at its PBEsol-relaxed geometry.

Cell: 3.0610 3.0610 6.6832 Å, 90.00 90.00 90.00°
Space group P4/mmm (No. 123)
Asymmetric unit:
Al 0.0000 0.0000 0.0000 (multiplicity 1)
Te 0.0000 0.0000 0.5000 (multiplicity 1)
Rh 0.5000 0.5000 0.2161 (multiplicity 2)

## Properties
**Energy relative to the elements, uncorrected**: -0.521 eV per atom
**Crystal system**: tetragonal
**DOS(E_F)**: 2.65 states/eV/f.u.


[2]
## Mg2HgRh (meta-GGA SCAN)

Data for Mg2HgRh at its PBEsol-relaxed geometry.

Cell: 3.9360 3.9360 8.7334 Å, 90.00 90.00 90.00°
Space group I-4m2 (No. 119)
Asymmetric unit:
Mg 0.0000 0.0000 0.0000 (multiplicity 2)
Mg 0.0000 0.5000 0.2500 (multiplicity 2)
Hg 0.0000 0.5000 0.7500 (multiplicity 2)
Rh 0.0000 0.0000 0.5000 (multiplicity 2)

## Properties
**E_form**: -0.42 eV/atom
**Crystal system**: tetragonal
**DOS(E_F)**: 1.51 states/eV/f.u.


[3]
## BaCo2As (meta-GGA SCAN)

Data for BaCo2As at its PBEsol-relaxed geometry.

Cell: 4.4641 3.9821 5.0955 Å, 90.00 99.01 90.00°
Space group Pm (No. 6)
Asymmetric unit:
Ba 0.0000 0.0000 0.0000 (multiplicity 1)
Co 0.5405 0.0000 0.4789 (multiplicity 1)
Co 0.7805 0.5000 0.4668 (multiplicity 1)
As 0.2885 0.5000 0.5526 (multiplicity 1)

## Properties
**E_form**: -0.13 eV/atom
**Crystal system**: monoclinic
**DOS(E_F)**: 1.55 states/eV/f.u.


[4]
## P2WSCl (meta-GGA SCAN)

Data for P2WSCl at its PBEsol-relaxed geometry.

Cell: 4.7008 4.7008 4.5259 Å, 90.00 90.00 90.00°
Space group P4/mmm (No. 123)
Asymmetric unit:
P 0.0000 0.5000 0.0000 (multiplicity 2)
W 0.0000 0.0000 0.0000 (multiplicity 1)
S 0.0000 0.0000 0.5000 (multiplicity 1)
Cl 0.5000 0.5000 0.5000 (multiplicity 1)

## Properties
**Energy relative to the elements, uncorrected**: 0.326 eV per atom
**Crystal system**: tetragonal
**DOS(E_F)**: 3.05 states/eV/f.u.


[5]
## SnN2O2 (meta-GGA SCAN)

Data for SnN2O2 at its PBEsol-relaxed geometry.

Cell: 3.4843 3.4843 3.6664 Å, 90.00 90.00 90.00°
Space group P4/mmm (No. 123)
Asymmetric unit:
Sn 0.0000 0.0000 0.0000 (multiplicity 1)
N 0.5000 0.5000 0.0000 (multiplicity 1)
N 0.5000 0.5000 0.5000 (multiplicity 1)
O 0.0000 0.5000 0.5000 (multiplicity 2)

## Properties
**Energy relative to the elements, uncorrected**: 1.240 eV per atom
**Crystal system**: tetragonal
**DOS(E_F)**: 1.79 states/eV/f.u.


[6]
## BeCrTc2 (meta-GGA SCAN)

Data for BeCrTc2 at its PBEsol-relaxed geometry.

Cell: 3.0737 3.8692 4.0902 Å, 90.00 90.00 90.00°
Space group Pmmm (No. 47)
Asymmetric unit:
Be 0.0000 0.0000 0.0000 (multiplicity 1)
Cr 0.5000 0.0000 0.5000 (multiplicity 1)
Tc 0.0000 0.5000 0.5000 (multiplicity 1)
Tc 0.5000 0.5000 0.0000 (multiplicity 1)

## Properties
**E_form**: 0.02 eV/atom
**Crystal system**: orthorhombic
**DOS(E_F)**: 2.58 states/eV/f.u.